NbSi3As | GGA-PBEsol | optimized geometry

Computed properties:
Volume: 22.4 Å³ per atom
Space group: No. 221
Formation energy without anion corrections: 0.963 eV per atom
Mass density: 3.732 g cm⁻³
Energy: -5.6706 eV per atom

Cell: 4.823 4.823 4.823 Å, 90.00 90.00 90.00°
Fractional coordinates of all 5 atoms:
Nb 0.000 0.000 0.000
Si 0.000 0.500 0.000
Si 0.000 0.000 0.500
Si 0.500 0.000 0.000
As 0.500 0.500 0.500